{"formula": "DyErAu4", "functional": "PBE", "state": "relaxed", "cell": [[-1.3242, -0.4757, -3.4587], [3.0508, -1.9562, -0.8990], [-4.1170, -7.6271, 2.6253]], "species": ["Dy", "Er", "Au", "Au", "Au", "Au"], "frac_coords": [[0.0000, 0.0000, 0.0000], [0.5000, 0.5000, 0.5000], [0.5000, 0.5000, 0.8341], [0.5000, 0.5000, 0.1659], [0.0000, 0.0000, 0.6633], [0.0000, 0.0000, 0.3367]], "vol_a3_per_atom": 21.04, "delta_e_f_mev_per_atom": -873, "energy_ev_per_cell": -27.5, "spacegroup": "No. 123"}